Ac6TlIn6 (PBE, relaxed); DFT formation energy = -0.30 eV/atom; DOS(E_F) = 14.369 states/eV/cell; calculated total energy = -3.642 eV/atom
1.0
-5.033 -4.533 -0.530
3.475 0.556 5.812
-7.546 7.940 3.752
Ac Tl In
6 1 6
Direct
0.333 0.667 0.500
0.000 0.000 0.692
0.000 0.000 0.308
0.667 0.333 0.000
0.667 0.333 0.500
0.333 0.667 0.000
0.000 0.000 0.000
0.500 0.500 0.249
0.500 0.500 0.751
0.000 0.500 0.249
0.500 0.000 0.751
0.500 0.000 0.249
0.000 0.500 0.751

Ac4Tl5In3 (PBE, relaxed); DFT formation energy = -0.16 eV/atom; DOS(E_F) = 10.890 states/eV/cell; calculated total energy = -3.203 eV/atom
1.0
-4.709 -1.129 -2.389
-1.245 -9.766 0.965
-6.103 -0.925 6.363
Tl In Ac
5 3 4
Direct
0.399 0.148 0.055
0.500 0.500 0.500
0.795 0.518 0.891
0.601 0.852 0.945
0.205 0.482 0.109
0.303 0.990 0.404
0.000 0.500 0.500
0.697 0.010 0.596
0.261 0.738 0.740
0.028 0.168 0.777
0.739 0.262 0.260
0.972 0.832 0.223